The following is a DFT calculation (GGA-PBE) of a relaxed TbErZnAg crystal.

a = 7.192 Å, b = 7.192 Å, c = 7.192 Å
α = 90.00°, β = 90.00°, γ = 90.00°
Space group F-43m (No. 216)
Asymmetric unit:
Tb (0.000, 0.000, 0.000) x4
Er (0.000, 0.000, 0.500) x4
Zn (0.250, 0.250, 0.750) x4
Ag (0.250, 0.250, 0.250) x4

Output
electronic total energy	-58.47	eV for the cell shown

The following is a DFT calculation (GGA-PBE) of a relaxed Er2TcAg crystal.

a = 3.449 Å, b = 3.449 Å, c = 7.273 Å
α = 90.00°, β = 90.00°, γ = 90.00°
Space group P4/mmm (No. 123)
Asymmetric unit:
Er (0.000, 0.000, 0.223) x2
Tc (0.500, 0.500, 0.000) x1
Ag (0.500, 0.500, 0.500) x1

Output
electronic total energy	-23.28	eV for the cell shown

The following is a DFT calculation (GGA-PBE) of a relaxed Er7Tc2Ag2 crystal.

a = 4.111 Å, b = 14.640 Å, c = 9.162 Å
α = 90.00°, β = 90.00°, γ = 90.00°
Space group Imm2 (No. 44)
Asymmetric unit:
Er (0.000, 0.000, 0.000) x2
Er (0.000, 0.133, 0.582) x4
Er (0.000, 0.320, 0.374) x4
Er (0.000, 0.353, 0.751) x4
Tc (0.000, 0.227, 0.075) x4
Ag (0.000, 0.000, 0.329) x2
Ag (0.000, 0.500, 0.225) x2

Output
electronic total energy	-120.45	eV for the cell shown

The following is a DFT calculation (GGA-PBE) of a relaxed Er2TcAg crystal.

a = 4.923 Å, b = 4.923 Å, c = 6.980 Å
α = 90.00°, β = 90.00°, γ = 90.00°
Space group I4/mmm (No. 139)
Asymmetric unit:
Er (0.000, 0.500, 0.250) x4
Tc (0.000, 0.000, 0.000) x2
Ag (0.000, 0.000, 0.500) x2

Output
electronic total energy	-45.94	eV for the cell shown

The following is a DFT calculation (GGA-PBE) of a relaxed Er8TcAg2 crystal.

a = 17.143 Å, b = 5.181 Å, c = 6.841 Å
α = 90.00°, β = 108.43°, γ = 90.00°
Space group C2/m (No. 12)
Asymmetric unit:
Er (0.027, 0.000, 0.295) x4
Er (0.092, 0.500, 0.931) x4
Er (0.161, 0.500, 0.463) x4
Er (0.196, 0.000, 0.797) x4
Tc (0.000, 0.500, 0.500) x2
Ag (0.184, 0.000, 0.205) x4

Output
electronic total energy	-108.23	eV for the cell shown
ΔE to the lowest computed polymorph	0	meV per atom

The following is a DFT calculation (GGA-PBE) of a relaxed Er4TcAg crystal.

a = 4.840 Å, b = 4.840 Å, c = 7.013 Å
α = 90.00°, β = 90.00°, γ = 90.00°
Space group P4/mmm (No. 123)
Asymmetric unit:
Er (0.000, 0.500, 0.233) x4
Tc (0.000, 0.000, 0.000) x1
Ag (0.500, 0.500, 0.500) x1

Output
electronic total energy	-31.54	eV for the cell shown
ΔE to the lowest computed polymorph	187	meV per atom

The following is a DFT calculation (GGA-PBE) of a relaxed Er5TcAg4 crystal.

a = 3.522 Å, b = 3.522 Å, c = 18.215 Å
α = 90.00°, β = 90.00°, γ = 90.00°
Space group P4/mmm (No. 123)
Asymmetric unit:
Er (0.000, 0.000, 0.000) x1
Er (0.000, 0.000, 0.204) x2
Er (0.000, 0.000, 0.412) x2
Tc (0.500, 0.500, 0.500) x1
Ag (0.500, 0.500, 0.101) x2
Ag (0.500, 0.500, 0.306) x2

Output
electronic total energy	-47.38	eV for the cell shown

The following is a DFT calculation (GGA-PBE) of a relaxed Er4TcAg3 crystal.

a = 3.509 Å, b = 3.509 Å, c = 14.602 Å
α = 90.00°, β = 90.00°, γ = 90.00°
Space group P4/mmm (No. 123)
Asymmetric unit:
Er (0.000, 0.000, 0.110) x2
Er (0.000, 0.000, 0.373) x2
Tc (0.500, 0.500, 0.000) x1
Ag (0.500, 0.500, 0.244) x2
Ag (0.500, 0.500, 0.500) x1

Output
electronic total energy	-39.28	eV for the cell shown

The following is a DFT calculation (GGA-PBE) of a relaxed Er4TcAg crystal.

a = 8.320 Å, b = 12.425 Å, c = 6.258 Å
α = 90.00°, β = 105.58°, γ = 90.00°
Space group C2/c (No. 15)
Asymmetric unit:
Er (0.103, 0.173, 0.041) x8
Er (0.213, 0.422, 0.409) x8
Tc (0.000, 0.001, 0.250) x4
Ag (0.000, 0.373, 0.750) x4

Output
electronic total energy	-130.64	eV for the cell shown
ΔE to the lowest computed polymorph	0	meV per atom

The following is a DFT calculation (GGA-PBE) of a relaxed Er8TcAg2 crystal.

a = 7.643 Å, b = 15.460 Å, c = 6.039 Å
α = 90.00°, β = 123.13°, γ = 90.00°
Space group Cm (No. 8)
Asymmetric unit:
Er (0.000, 0.000, 0.000) x2
Er (0.005, 0.117, 0.475) x4
Er (0.044, 0.386, 0.843) x4
Er (0.055, 0.500, 0.374) x2
Er (0.278, 0.190, 0.136) x4
Tc (0.270, 0.000, 0.861) x2
Ag (0.266, 0.287, 0.644) x4

Output
electronic total energy	-106.46	eV for the cell shown
ΔE to the lowest computed polymorph	81	meV per atom

The following is a DFT calculation (GGA-PBE) of a relaxed Er5TcAg2 crystal.

a = 6.561 Å, b = 12.011 Å, c = 4.960 Å
α = 90.00°, β = 90.00°, γ = 90.00°
Space group Pbam (No. 55)
Asymmetric unit:
Er (0.000, 0.000, 0.000) x2
Er (0.140, 0.286, 0.000) x4
Er (0.166, 0.599, 0.500) x4
Tc (0.000, 0.500, 0.000) x2
Ag (0.121, 0.859, 0.500) x4

Output
electronic total energy	-80.76	eV for the cell shown

The following is a DFT calculation (GGA-PBE) of a relaxed Er8Tc2Ag crystal.

a = 8.621 Å, b = 12.708 Å, c = 5.570 Å
α = 90.00°, β = 105.84°, γ = 90.00°
Space group Cm (No. 8)
Asymmetric unit:
Er (0.000, 0.000, 0.000) x2
Er (0.082, 0.368, 0.786) x4
Er (0.182, 0.132, 0.609) x4
Er (0.261, 0.500, 0.393) x2
Er (0.383, 0.237, 0.197) x4
Tc (0.382, 0.314, 0.696) x4
Ag (0.380, 0.000, 0.215) x2

Output
electronic total energy	-121.86	eV for the cell shown

The following is a DFT calculation (GGA-PBE) of a relaxed YErTcAg crystal.

a = 7.009 Å, b = 7.009 Å, c = 7.009 Å
α = 90.00°, β = 90.00°, γ = 90.00°
Space group F-43m (No. 216)
Asymmetric unit:
Y (0.000, 0.000, 0.000) x4
Er (0.000, 0.000, 0.500) x4
Tc (0.250, 0.250, 0.750) x4
Ag (0.250, 0.250, 0.250) x4

Output
electronic total energy	-99.06	eV for the cell shown

The following is a DFT calculation (GGA-PBE) of a relaxed Er2AgTe4 crystal.

a = 7.627 Å, b = 6.231 Å, c = 8.922 Å
α = 90.00°, β = 100.20°, γ = 90.00°
Space group P2_1/m (No. 11)
Asymmetric unit:
Er (0.176, 0.250, 0.374) x2
Er (0.253, 0.250, 0.937) x2
Ag (0.253, 0.750, 0.648) x2
Te (0.039, 0.750, 0.367) x2
Te (0.089, 0.750, 0.915) x2
Te (0.451, 0.506, 0.224) x4

Output
electronic total energy	-61.22	eV for the cell shown

The following is a DFT calculation (GGA-PBE) of a relaxed Er2AgTe crystal.

a = 4.1410 Å, b = 4.1410 Å, c = 22.4446 Å
α = 90.00°, β = 90.00°, γ = 120.00°
Space group R3m (No. 160, hexagonal axes)
Asymmetric unit:
Er (0.0000, 0.0000, 0.0000) x3
Er (0.0000, 0.0000, 0.1804) x3
Ag (0.0000, 0.0000, 0.5895) x3
Te (0.0000, 0.0000, 0.7581) x3

Output
electronic total energy	-53.26	eV for the cell shown
ΔE to the lowest computed polymorph	109	meV per atom

The following is a DFT calculation (GGA-PBE) of a relaxed Er6AgTe3 crystal.

a = 11.076 Å, b = 4.018 Å, c = 13.191 Å
α = 90.00°, β = 105.27°, γ = 90.00°
Space group P2_1/m (No. 11)
Asymmetric unit:
Er (0.027, 0.250, 0.347) x2
Er (0.067, 0.250, 0.886) x2
Er (0.274, 0.750, 0.330) x2
Er (0.291, 0.750, 0.761) x2
Er (0.382, 0.750, 0.107) x2
Er (0.395, 0.250, 0.549) x2
Ag (0.462, 0.250, 0.297) x2
Te (0.156, 0.250, 0.141) x2
Te (0.169, 0.750, 0.524) x2
Te (0.352, 0.250, 0.934) x2

Output
electronic total energy	-93.79	eV for the cell shown

The following is a DFT calculation (GGA-PBE) of a relaxed Er2AgTe crystal.

a = 4.1106 Å, b = 4.1106 Å, c = 22.5746 Å
α = 90.00°, β = 90.00°, γ = 120.00°
Space group R-3m (No. 166, hexagonal axes)
Asymmetric unit:
Er (0.0000, 0.0000, 0.2454) x6
Ag (0.0000, 0.0000, 0.5000) x3
Te (0.0000, 0.0000, 0.0000) x3

Output
electronic total energy	-53.60	eV for the cell shown
ΔE to the lowest computed polymorph	82	meV per atom

The following is a DFT calculation (GGA-PBE) of a relaxed Er4AgTe3 crystal.

a = 8.862 Å, b = 12.196 Å, c = 4.165 Å
α = 90.00°, β = 90.00°, γ = 90.00°
Space group Cmmm (No. 65)
Asymmetric unit:
Er (0.000, 0.242, 0.000) x4
Er (0.231, 0.000, 0.500) x4
Ag (0.000, 0.000, 0.000) x2
Te (0.000, 0.500, 0.000) x2
Te (0.250, 0.250, 0.500) x4

Output
electronic total energy	-76.67	eV for the cell shown

The following is a DFT calculation (GGA-PBE) of a relaxed Er2Ag2Te5 crystal.

a = 15.857 Å, b = 4.848 Å, c = 8.884 Å
α = 90.00°, β = 123.73°, γ = 90.00°
Space group C2/m (No. 12)
Asymmetric unit:
Er (0.111, 0.000, 0.453) x4
Ag (0.067, 0.500, 0.899) x4
Te (0.000, 0.500, 0.500) x2
Te (0.127, 0.000, 0.826) x4
Te (0.155, 0.500, 0.280) x4

Output
electronic total energy	-73.03	eV for the cell shown

The following is a DFT calculation (GGA-PBE) of a relaxed Er2AgTe crystal.

a = 4.112 Å, b = 23.657 Å, c = 4.370 Å
α = 90.00°, β = 90.00°, γ = 90.00°
Space group Cmcm (No. 63)
Asymmetric unit:
Er (0.000, 0.064, 0.250) x4
Er (0.000, 0.330, 0.250) x4
Ag (0.000, 0.459, 0.250) x4
Te (0.000, 0.196, 0.250) x4

Output
electronic total energy	-72.77	eV for the cell shown
ΔE to the lowest computed polymorph	0	meV per atom

The following is a DFT calculation (GGA-PBE) of a relaxed Er2AgTe crystal.

a = 3.811 Å, b = 3.811 Å, c = 6.909 Å
α = 90.00°, β = 90.00°, γ = 90.00°
Space group P4/mmm (No. 123)
Asymmetric unit:
Er (0.000, 0.000, 0.244) x2
Ag (0.500, 0.500, 0.000) x1
Te (0.500, 0.500, 0.500) x1

Output
electronic total energy	-17.64	eV for the cell shown
ΔE to the lowest computed polymorph	139	meV per atom

The following is a DFT calculation (GGA-PBE) of a relaxed Er8AgTe2 crystal.

a = 15.529 Å, b = 6.638 Å, c = 6.216 Å
α = 90.00°, β = 93.98°, γ = 90.00°
Space group C2/m (No. 12)
Asymmetric unit:
Er (0.085, 0.000, 0.371) x4
Er (0.093, 0.247, 0.844) x8
Er (0.196, 0.500, 0.379) x4
Ag (0.000, 0.500, 0.500) x2
Te (0.239, 0.000, 0.115) x4

Output
electronic total energy	-98.99	eV for the cell shown

The following is a DFT calculation (GGA-PBE) of a relaxed Er3AgTe4 crystal.

a = 4.3241 Å, b = 4.3241 Å, c = 42.6223 Å
α = 90.00°, β = 90.00°, γ = 120.00°
Space group R-3m (No. 166, hexagonal axes)
Asymmetric unit:
Er (0.0000, 0.0000, 0.0000) x3
Er (0.0000, 0.0000, 0.2503) x6
Ag (0.0000, 0.0000, 0.5000) x3
Te (0.0000, 0.0000, 0.1247) x6
Te (0.0000, 0.0000, 0.3746) x6

Output
electronic total energy	-111.87	eV for the cell shown

The following is a DFT calculation (GGA-PBE) of a relaxed Er4AgTe5 crystal.

a = 19.372 Å, b = 4.248 Å, c = 9.015 Å
α = 90.00°, β = 105.84°, γ = 90.00°
Space group C2/m (No. 12)
Asymmetric unit:
Er (0.010, 0.000, 0.243) x4
Er (0.169, 0.500, 0.570) x4
Ag (0.000, 0.500, 0.500) x2
Te (0.000, 0.500, 0.000) x2
Te (0.145, 0.000, 0.783) x4
Te (0.170, 0.000, 0.323) x4

Output
electronic total energy	-93.74	eV for the cell shown